(1)
6
Lattice="-5.720 0.431 2.929 -3.324 0.135 5.514 -0.842 7.135 1.597" Properties=species:S:1:pos:R:3 comment="CaMo PBE relaxed" vol_a3_per_cell=155 formation_enthalpy_0k_mev_per_atom=563 sg="Cm (8)" polymorph_energy_mev_per_atom=202 pbc="T T T"
Ca -3.425 2.777 3.491
Ca -6.429 5.567 6.593
Ca -5.842 1.823 5.621
Mo -9.444 7.595 9.618
Mo -9.040 5.253 8.977
Mo -3.716 6.505 4.187

(2)
5
Lattice="4.517 0.000 0.000 0.000 4.517 0.000 0.000 0.000 4.517" Properties=species:S:1:pos:R:3 comment="CaMo4 PBE relaxed" vol_a3_per_cell=92 formation_enthalpy_0k_mev_per_atom=2709 sg="Pm-3m (221)" pbc="T T T"
Ca 2.259 2.259 2.259
Mo 0.000 0.000 0.000
Mo 2.259 0.000 2.259
Mo 0.000 2.259 2.259
Mo 2.259 2.259 0.000

(3)
9
Lattice="-1.926 -5.962 5.293 1.975 7.643 -2.227 -7.796 0.922 -2.376" Properties=species:S:1:pos:R:3 comment="Ca5Mo4 PBE relaxed" vol_a3_per_cell=225 formation_enthalpy_0k_mev_per_atom=672 sg="I4/mmm (139)" pbc="T T T"
Ca 0.000 0.000 0.000
Ca 0.677 3.118 0.275
Ca -0.629 -1.437 2.792
Ca -2.577 1.430 1.251
Ca -5.171 1.173 -0.561
Mo -3.636 -1.885 1.091
Mo -6.087 -3.155 1.826
Mo -3.644 5.362 -2.882
Mo -2.177 3.203 -1.721

(4)
12
Lattice="-0.400 -0.525 4.110 0.341 -3.313 -2.498 24.258 0.653 2.443" Properties=species:S:1:pos:R:3 comment="CaMo PBE relaxed" vol_a3_per_cell=366 formation_enthalpy_0k_mev_per_atom=481 sg="R-3m (166)" polymorph_energy_mev_per_atom=120 pbc="T T T"
Mo 8.075 0.217 0.813
Mo 16.184 0.435 1.630
Mo 24.341 -1.731 2.147
Mo 8.191 -2.166 0.520
Mo 16.008 -1.019 3.535
Mo -0.142 -1.454 1.909
Ca 2.269 0.061 0.229
Ca 21.989 0.592 2.215
Ca 18.535 -1.887 1.562
Ca 13.997 -2.009 1.105
Ca 10.202 -1.176 2.950
Ca 5.664 -1.298 2.493

(5)
6
Lattice="1.588 5.225 -0.004 -1.588 5.225 -0.004 0.000 2.100 6.241" Properties=species:S:1:pos:R:3 comment="CaMo5 PBE relaxed" vol_a3_per_cell=104 formation_enthalpy_0k_mev_per_atom=395 sg="C2/m (12)" polymorph_energy_mev_per_atom=0 pbc="T T T"
Ca 0.000 6.276 3.117
Mo 0.000 2.171 0.915
Mo 0.000 10.380 5.318
Mo 0.000 9.270 2.017
Mo 0.000 5.225 -0.004
Mo 0.000 3.281 4.216

(6)
4
Lattice="-1.699 -1.174 -9.004 1.783 -2.131 8.811 -3.298 -0.121 0.638" Properties=species:S:1:pos:R:3 comment="CaMo PBE relaxed" vol_a3_per_cell=101 formation_enthalpy_0k_mev_per_atom=380 sg="Cmcm (63)" polymorph_energy_mev_per_atom=19 pbc="T T T"
Mo -3.192 -1.534 -3.512
Mo -0.021 -1.892 3.956
Ca -3.835 -1.358 -6.802
Ca 0.622 -2.069 7.246

(7)
8
Lattice="6.931 0.000 0.000 0.000 6.931 0.000 0.000 0.000 6.931" Properties=species:S:1:pos:R:3 comment="CaMo PBE relaxed" vol_a3_per_cell=333 formation_enthalpy_0k_mev_per_atom=2603 sg="F-43m (216)" polymorph_energy_mev_per_atom=2242 pbc="T T T"
Ca 1.733 1.733 1.733
Ca 1.733 5.198 5.198
Ca 5.198 1.733 5.198
Ca 5.198 5.198 1.733
Mo 0.000 0.000 0.000
Mo 0.000 3.465 3.465
Mo 3.465 0.000 3.465
Mo 3.465 3.465 0.000

(8)
32
Lattice="5.854 0.000 0.000 0.000 14.641 0.000 0.000 0.000 9.258" Properties=species:S:1:pos:R:3 comment="CaMo PBE relaxed" vol_a3_per_cell=794 formation_enthalpy_0k_mev_per_atom=715 sg="Fddd (70)" polymorph_energy_mev_per_atom=354 pbc="T T T"
Ca 0.000 0.000 6.161
Ca 0.000 0.000 3.097
Ca 1.464 10.981 5.412
Ca 1.464 10.981 8.476
Ca 0.000 7.321 1.532
Ca 0.000 7.321 7.726
Ca 1.464 3.660 0.783
Ca 1.464 3.660 3.847
Ca 2.927 0.000 1.532
Ca 2.927 0.000 7.726
Ca 4.391 10.981 0.783
Ca 4.391 10.981 3.847
Ca 2.927 7.321 6.161
Ca 2.927 7.321 3.097
Ca 4.391 3.660 5.412
Ca 4.391 3.660 8.476
Mo 0.000 1.090 0.000
Mo 0.000 13.551 0.000
Mo 1.464 9.891 2.315
Mo 1.464 12.071 2.315
Mo 0.000 8.411 4.629
Mo 0.000 6.230 4.629
Mo 1.464 2.570 6.944
Mo 1.464 4.751 6.944
Mo 2.927 1.090 4.629
Mo 2.927 13.551 4.629
Mo 4.391 9.891 6.944
Mo 4.391 12.071 6.944
Mo 2.927 8.411 0.000
Mo 2.927 6.230 0.000
Mo 4.391 2.570 2.315
Mo 4.391 4.751 2.315

Number 1: DOS(E_F) 5.3 states/eV/cell. Number 2: DOS(E_F) 5.6 states/eV/cell. Number 3: DOS(E_F) 11.9 states/eV/cell. Number 4: DOS(E_F) 11.2 states/eV/cell. Number 5: DOS(E_F) 4.5 states/eV/cell. Number 6: DOS(E_F) 4.5 states/eV/cell. Number 7: DOS(E_F) 8.7 states/eV/cell. Number 8: DOS(E_F) 37.4 states/eV/cell.